Record 1
A plane-wave DFT calculation with PBE was carried out for a geometry-optimized Re2RuPt structure.

a b c (Å): 4.8026 4.8026 4.7476
angles (deg): 80.47 80.47 33.25
With the nearest neighbours (Å) after each atom.
Fractional positions:
Pt  0.7500  0.7500  0.7500  4 Ru 2.74, 2 Pt 2.75, 6 Re 2.76-2.80
Re  0.9969  0.9969  0.0092  6 Re 2.68-2.81, 3 Ru 2.73-2.77, 3 Pt 2.76-2.80
Re  0.5031  0.5031  0.4908  6 Re 2.68-2.81, 3 Ru 2.73-2.77, 3 Pt 2.76-2.80
Ru  0.2500  0.2500  0.2500  6 Re 2.73-2.77, 4 Pt 2.74, 2 Ru 2.75

Total magnetization (μB per cell): 0.00
E above lowest polymorph (meV per atom): 127
Total energy (eV per atom): -10.054
N(E_F) (states/eV/f.u.): 4.0
Symmetry: No. 12
DFT formation energy (meV/atom): -1

=====

Record 2
A plane-wave DFT calculation with PBE was carried out for a geometry-optimized YZrAs2 structure.

a b c (Å): 6.1494 6.1494 6.1494
angles (deg): 142.10 142.10 54.68
With the nearest neighbours (Å) after each atom.
Fractional positions:
Y  0.5000  0.5000  0.0000  4 As 2.82
As  0.0000  0.0000  0.0000  4 Y 2.82
As  0.2500  0.7500  0.5000  4 Zr 2.82
Zr  0.7500  0.2500  0.5000  4 As 2.82

Total magnetization (μB per cell): 0.00
E above lowest polymorph (meV per atom): 540
Total energy (eV per atom): -6.863
N(E_F) (states/eV/f.u.): 3.8
Symmetry: No. 119
DFT formation energy (meV/atom): -785

=====

Record 3
A plane-wave DFT calculation with PBE was carried out for a geometry-optimized Re2SiBr structure.

a b c (Å): 5.6803 5.6803 6.5357
angles (deg): 64.24 64.24 90.00
With the nearest neighbours (Å) after each atom.
Fractional positions:
Re  0.6162  0.1250  0.2500  2 Si 2.36, 2 Br 2.42
Re  0.1338  0.6250  0.2500  2 Si 2.36, 2 Br 2.42
Re  0.3750  0.3838  0.7500  2 Si 2.36, 2 Br 2.42
Re  0.8750  0.8662  0.7500  2 Si 2.36, 2 Br 2.42
Si  0.5000  0.5000  0.0000  4 Re 2.36
Si  0.2500  0.7500  0.5000  4 Re 2.36
Br  0.0000  0.0000  0.0000  4 Re 2.42
Br  0.7500  0.2500  0.5000  4 Re 2.42

Total magnetization (μB per cell): 0.00
E above lowest polymorph (meV per atom): 1152
Total energy (eV per atom): -6.558
N(E_F) (states/eV/f.u.): 5.3
Symmetry: No. 122
Raw formation energy (meV per atom): 1440

=====

Record 4
A plane-wave DFT calculation with PBE was carried out for a geometry-optimized MgCo2Ir structure.

a b c (Å): 2.9263 2.9263 6.2918
angles (deg): 90.00 90.00 90.00
With the nearest neighbours (Å) after each atom.
Fractional positions:
Co  0.0000  0.0000  0.0338  4 Co 2.41, 4 Mg 2.70
Co  0.5000  0.5000  0.2309  4 Co 2.41, 4 Ir 2.59
Ir  0.0000  0.0000  0.4774  5 Co 2.59-2.79, 4 Mg 2.72
Mg  0.5000  0.5000  0.7580  5 Co 2.70-2.98, 4 Ir 2.72, 4 Mg 2.93

Total magnetization (μB per cell): 4.10
Total energy (eV per atom): -6.153
N(E_F) (states/eV/f.u.): 3.6
Symmetry: No. 99
DFT formation energy (meV/atom): 14